# 1
VASP calculation (SCAN) on a PBEsol-optimized structure of YTa3Mo.

Lattice parameters (Å, degrees): 4.7281 4.7281 4.7281 90.00 90.00 90.00
Element x y z (fractional)
Y1 0.0000 0.0000 0.0000
Ta1 0.0000 0.0000 0.5000
Ta2 0.0000 0.5000 0.0000
Ta3 0.5000 0.0000 0.0000
Mo1 0.5000 0.5000 0.5000

Values from the calculation:
space group: Pm-3m (221)
V: 21.14 Å³/atom
formation energy from the elements: 2729 meV per atom

=====

# 2
VASP calculation (SCAN) on a PBEsol-optimized structure of Na4Al3Ge3O13.

Lattice parameters (Å, degrees): 8.9132 8.9132 8.9132 90.06 90.06 90.06
Element x y z (fractional)
Na1 0.0000 0.0000 0.0000
Na2 0.0005 0.6888 0.6890
Na3 0.1890 0.1888 0.5005
Na4 0.1888 0.5005 0.1890
Na5 0.5005 0.1890 0.1888
Na6 0.5000 0.5000 0.5000
Na7 0.6890 0.0005 0.6888
Na8 0.6888 0.6890 0.0005
Al1 0.0931 0.8434 0.3437
Al2 0.3434 0.5931 0.8437
Al3 0.3437 0.0931 0.8434
Al4 0.5931 0.8437 0.3434
Al5 0.8434 0.3437 0.0931
Al6 0.8437 0.3434 0.5931
Ge1 0.0934 0.3434 0.8433
Ge2 0.3434 0.8433 0.0934
Ge3 0.3433 0.8434 0.5934
Ge4 0.5934 0.3433 0.8434
Ge5 0.8433 0.0934 0.3434
Ge6 0.8434 0.5934 0.3433
O1 0.2024 0.2027 0.7599
O2 0.2024 0.4836 0.9280
O3 0.2027 0.7599 0.2024
O4 0.2027 0.9277 0.4848
O5 0.2585 0.9830 0.9836
O6 0.2599 0.7027 0.7024
O7 0.3355 0.3355 0.3355
O8 0.4277 0.7027 0.9848
O9 0.4280 0.9836 0.7024
O10 0.4830 0.7585 0.4836
O11 0.4836 0.4830 0.7585
O12 0.4836 0.9280 0.2024
O13 0.4848 0.2027 0.9277
O14 0.7024 0.2599 0.7027
O15 0.7024 0.4280 0.9836
O16 0.7027 0.7024 0.2599
O17 0.7027 0.9848 0.4277
O18 0.7585 0.4836 0.4830
O19 0.7599 0.2024 0.2027
O20 0.8355 0.8355 0.8355
O21 0.9280 0.2024 0.4836
O22 0.9277 0.4848 0.2027
O23 0.9830 0.9836 0.2585
O24 0.9836 0.2585 0.9830
O25 0.9836 0.7024 0.4280
O26 0.9848 0.4277 0.7027

Values from the calculation:
space group: R3c (161)
V: 15.39 Å³/atom
E_form (uncorrected): -2.31 eV/atom

=====

# 3
VASP calculation (SCAN) on a PBEsol-optimized structure of K2SiH.

Lattice parameters (Å, degrees): 5.5061 5.5061 5.5061 60.00 60.00 60.00
Element x y z (fractional)
K1 0.2500 0.2500 0.2500
K2 0.7500 0.7500 0.7500
Si1 0.0000 0.0000 0.0000
H1 0.5000 0.5000 0.5000

Values from the calculation:
space group: Fm-3m (225)
V: 29.51 Å³/atom

=====

# 4
VASP calculation (SCAN) on a PBEsol-optimized structure of FeAg2Mo.

Lattice parameters (Å, degrees): 5.0489 5.0489 5.0489 137.46 137.46 61.73
Element x y z (fractional)
Fe1 0.0000 0.0000 0.0000
Ag1 0.2500 0.7500 0.5000
Ag2 0.7500 0.2500 0.5000
Mo1 0.5000 0.5000 0.0000

Values from the calculation:
space group: I4/mmm (139)
V: 14.54 Å³/atom
formation energy from the elements: 642 meV per atom

=====

# 5
VASP calculation (SCAN) on a PBEsol-optimized structure of TcIr2Ru.

Lattice parameters (Å, degrees): 4.6565 2.6873 4.6780 90.00 109.46 90.00
Element x y z (fractional)
Tc1 0.0000 0.0000 0.0000
Ir1 0.0000 0.5000 0.5000
Ir2 0.5000 0.0000 0.5000
Ru1 0.5000 0.5000 0.0000

Values from the calculation:
space group: P2/m (10)
V: 13.80 Å³/atom
formation energy from the elements: -115 meV per atom

=====

# 6
VASP calculation (SCAN) on a PBEsol-optimized structure of ScBeRu3.

Lattice parameters (Å, degrees): 4.1181 4.1181 4.1181 90.00 90.00 90.00
Element x y z (fractional)
Sc1 0.0000 0.0000 0.0000
Be1 0.5000 0.5000 0.5000
Ru1 0.0000 0.5000 0.5000
Ru2 0.5000 0.0000 0.5000
Ru3 0.5000 0.5000 0.0000

Values from the calculation:
space group: Pm-3m (221)
V: 13.97 Å³/atom
formation energy from the elements: 4 meV per atom

=====

# 7
VASP calculation (SCAN) on a PBEsol-optimized structure of Co2HgPb.

Lattice parameters (Å, degrees): 3.9585 5.1251 5.1251 40.45 90.00 90.00
Element x y z (fractional)
Co1 0.0000 0.0000 0.0000
Co2 0.5000 0.1246 0.1246
Hg1 0.5000 0.4140 0.4140
Pb1 0.0000 0.7181 0.7181

Values from the calculation:
space group: Amm2 (38)
V: 16.87 Å³/atom
formation energy from the elements: 468 meV per atom

=====

# 8
VASP calculation (SCAN) on a PBEsol-optimized structure of K4AgAu.

Lattice parameters (Å, degrees): 6.8136 6.8136 6.8136 60.00 60.00 60.00
Element x y z (fractional)
K1 0.1254 0.1254 0.1254
K2 0.1254 0.1254 0.6239
K3 0.1254 0.6239 0.1254
K4 0.6239 0.1254 0.1254
Ag1 0.7500 0.7500 0.7500
Au1 0.5000 0.5000 0.5000

Values from the calculation:
space group: F-43m (216)
V: 37.28 Å³/atom
formation energy from the elements: 372 meV per atom

=====

# 9
VASP calculation (SCAN) on a PBEsol-optimized structure of BaTa2Pt.

Lattice parameters (Å, degrees): 5.7322 5.7322 5.7322 137.82 137.82 61.17
Element x y z (fractional)
Ba1 0.0000 0.0000 0.0000
Ta1 0.2500 0.7500 0.5000
Ta2 0.7500 0.2500 0.5000
Pt1 0.5000 0.5000 0.0000

Values from the calculation:
space group: I4/mmm (139)
V: 20.99 Å³/atom
formation energy from the elements: 862 meV per atom

=====

# 10
VASP calculation (SCAN) on a PBEsol-optimized structure of ReTeAs.

Lattice parameters (Å, degrees): 4.4756 4.4756 4.4756 60.00 60.00 60.00
Element x y z (fractional)
Re1 0.0000 0.0000 0.0000
Te1 0.7500 0.7500 0.7500
As1 0.5000 0.5000 0.5000

Values from the calculation:
space group: F-43m (216)
V: 21.13 Å³/atom
E_form (uncorrected): 1.34 eV/atom

=====

# 11
VASP calculation (SCAN) on a PBEsol-optimized structure of RbReAs2Se.

Lattice parameters (Å, degrees): 5.3815 5.3815 5.3715 90.00 90.00 90.00
Element x y z (fractional)
Rb1 0.0000 0.0000 0.0000
Re1 0.5000 0.5000 0.5000
As1 0.0000 0.5000 0.0000
As2 0.5000 0.0000 0.0000
Se1 0.0000 0.0000 0.5000

Values from the calculation:
space group: P4/mmm (123)
V: 31.11 Å³/atom
E_form (uncorrected): 2.64 eV/atom

=====

One value per record, in order, for total magnetic moment: 1.1, 2.0, 3.0, 0.9, 0.0, 0.0, 3.2, 0.0, 0.0, 0.0, 3.5 μB per cell.
One value per record, in order, for E_tot: -248.83, -231.52, -28.09, -113.18, -212.54, -123.05, -176.68, -131.61, -239.46, -124.52, -139.08 eV/f.u..